A plane-wave DFT calculation with GGA+U was carried out for a geometry-optimized HoErV2O8 structure.

a = 5.974 Å, b = 5.974 Å, c = 5.974 Å
α = 106.29°, β = 106.29°, γ = 116.04°
Positions (direct):
O (0.863, 0.677, 0.185)
O (0.926, 0.240, 0.314)
O (0.492, 0.677, 0.815)
O (0.926, 0.612, 0.686)
O (0.323, 0.508, 0.185)
O (0.388, 0.074, 0.314)
O (0.323, 0.137, 0.815)
O (0.760, 0.074, 0.686)
V (0.750, 0.250, 0.500)
V (0.500, 0.500, 0.000)
Er (0.000, 0.000, 0.000)
Ho (0.250, 0.750, 0.500)

Computed properties:
Theoretical density ... 5.7 g cm⁻³
Final energy ... -96.66 eV/cell